[1]
PBE BaTi, optimized geometry; ΔE to the lowest computed polymorph = 0.0 kJ/mol of atoms; space group = I4/m; D(E_F) = 25.51 states/eV/cell
1.0
12.050 0.000 0.000
0.000 12.050 0.000
0.000 0.000 3.824
Ba Ti
8 8
direct
0.130 0.824 0.000
0.870 0.176 0.000
0.176 0.130 0.000
0.824 0.870 0.000
0.630 0.324 0.500
0.370 0.676 0.500
0.676 0.630 0.500
0.324 0.370 0.500
0.484 0.112 0.000
0.516 0.888 0.000
0.888 0.484 0.000
0.112 0.516 0.000
0.984 0.612 0.500
0.016 0.388 0.500
0.388 0.984 0.500
0.612 0.016 0.500

=====

[2]
PBE BaTi, optimized geometry; ΔE to the lowest computed polymorph = 92.6 kJ/mol of atoms; space group = Fm-3m; D(E_F) = 21.40 states/eV/cell
1.0
-0.039 -0.451 6.968
-4.051 -5.674 -0.390
5.687 -4.045 -0.230
Ba Ti
4 4
direct
0.500 0.500 0.500
0.500 0.000 0.000
0.000 0.500 0.000
0.000 0.000 0.500
0.000 0.000 0.000
0.000 0.500 0.500
0.500 0.000 0.500
0.500 0.500 0.000

=====

[3]
PBE BaTi, optimized geometry; ΔE to the lowest computed polymorph = 54.1 kJ/mol of atoms; space group = I4/m; D(E_F) = 23.29 states/eV/cell
1.0
-8.788 3.200 -11.114
8.400 -7.829 -8.896
-1.790 -2.659 0.650
Ba Ti
8 8
direct
0.456 0.200 0.000
0.544 0.800 0.000
0.800 0.456 0.000
0.200 0.544 0.000
0.956 0.700 0.500
0.044 0.300 0.500
0.300 0.956 0.500
0.700 0.044 0.500
0.321 0.741 0.000
0.679 0.259 0.000
0.259 0.321 0.000
0.741 0.679 0.000
0.821 0.241 0.500
0.179 0.759 0.500
0.759 0.821 0.500
0.241 0.179 0.500

=====

[4]
PBE BaTi, optimized geometry; ΔE to the lowest computed polymorph = 33.6 kJ/mol of atoms; space group = Fddd; D(E_F) = 51.97 states/eV/cell
1.0
-1.632 -4.609 -9.537
15.814 2.648 -3.985
1.608 -5.801 2.528
Ba Ti
16 16
direct
0.333 0.000 0.000
0.667 0.000 0.000
0.917 0.750 0.250
0.583 0.750 0.250
0.333 0.500 0.500
0.667 0.500 0.500
0.917 0.250 0.750
0.583 0.250 0.750
0.833 0.000 0.500
0.167 0.000 0.500
0.417 0.750 0.750
0.083 0.750 0.750
0.833 0.500 0.000
0.167 0.500 0.000
0.417 0.250 0.250
0.083 0.250 0.250
0.000 0.935 0.000
0.000 0.065 0.000
0.250 0.815 0.250
0.250 0.685 0.250
0.000 0.435 0.500
0.000 0.565 0.500
0.250 0.315 0.750
0.250 0.185 0.750
0.500 0.935 0.500
0.500 0.065 0.500
0.750 0.815 0.750
0.750 0.685 0.750
0.500 0.435 0.000
0.500 0.565 0.000
0.750 0.315 0.250
0.750 0.185 0.250

=====

[5]
PBE BaTi4, optimized geometry; space group = Pm-3m; D(E_F) = 10.94 states/eV/cell; final energy = -24.35 eV for the cell shown
1.0
-3.262 -0.845 -3.625
0.390 -4.871 0.784
-3.701 0.231 3.277
Ba Ti
1 4
direct
0.500 0.500 0.500
0.000 0.000 0.000
0.500 0.000 0.500
0.000 0.500 0.500
0.500 0.500 0.000

=====

[6]
PBE BaTi, optimized geometry; ΔE to the lowest computed polymorph = 153.3 kJ/mol of atoms; space group = Pm-3n; D(E_F) = 32.58 states/eV/cell
1.0
9.769 0.000 0.000
0.000 9.769 0.000
0.000 0.000 9.769
Ba Ti
6 6
direct
0.250 0.500 0.000
0.750 0.500 0.000
0.500 0.000 0.250
0.500 0.000 0.750
0.000 0.250 0.500
0.000 0.750 0.500
0.250 0.000 0.500
0.750 0.000 0.500
0.000 0.500 0.250
0.000 0.500 0.750
0.500 0.250 0.000
0.500 0.750 0.000

=====

> Among the records above, which one has the highest D(E_F)?

number 4

=====

> Among the records above, which one has the lowest D(E_F)?

BaTi4

=====

> The lowest D(E_F) belongs to which entry?

BaTi4

=====

> Look up the D(E_F) of the fourth one.

51.97 states/eV/cell